1.
## Sm6YIn2 (PBE)

Data for a relaxed Sm6YIn2 crystal.

Lattice parameters (Å, degrees): 6.785 6.785 11.999 107.54 107.54 32.69
Atoms (fractional coordinates):
Sm  0.015  0.015  0.339
Sm  0.308  0.308  0.412
Sm  0.316  0.316  0.123
Sm  0.684  0.684  0.877
Sm  0.692  0.692  0.588
Sm  0.985  0.985  0.661
Y  0.000  0.000  0.000
In  0.359  0.359  0.798
In  0.641  0.641  0.202

Summary:
Calculated formation energy   -0.2045 eV per atom
Crystal system   monoclinic
Relative energy among the computed polymorphs   0.0 meV/atom
M_tot   0.00 μB per cell

2.
## SrCo3C (PBE)

Data for a relaxed SrCo3C crystal.

Lattice parameters (Å, degrees): 3.990 3.990 3.990 90.00 90.00 90.00
Atoms (fractional coordinates):
Sr  0.000  0.000  0.000
Co  0.000  0.500  0.500
Co  0.500  0.000  0.500
Co  0.500  0.500  0.000
C  0.500  0.500  0.500

Summary:
Calculated formation energy   0.3560 eV per atom
Crystal system   cubic
Relative energy among the computed polymorphs   0.0 meV/atom
M_tot   0.91 μB per cell

3.
## KLiLa2 (PBE)

Data for a relaxed KLiLa2 crystal.

Lattice parameters (Å, degrees): 3.835 6.008 13.022 90.00 90.00 90.00
Atoms (fractional coordinates):
K  0.000  0.000  0.000
K  0.500  0.500  0.000
Li  0.000  0.000  0.500
Li  0.500  0.500  0.500
La  0.000  0.500  0.286
La  0.000  0.500  0.714
La  0.500  0.000  0.286
La  0.500  0.000  0.714

Summary:
Calculated formation energy   0.2885 eV per atom
Crystal system   orthorhombic
Relative energy among the computed polymorphs   125.1 meV/atom
M_tot   0.00 μB per cell